The following is a DFT calculation (PBE) of an optimized crystal structure of BaCr2GaCu.

Cell: 5.8869 5.9131 5.8869 Å, 90.00 90.00 90.00°
With the nearest neighbours (Å) after each atom.
Sites, in units of the cell vectors:
Cr (0.0000, 0.0000, 0.5000)  2 Ba 2.94
Cr (0.5000, 0.0000, 0.0000)  2 Ba 2.94
Cu (0.5000, 0.5000, 0.5000)  4 Ga 4.16, 8 Cr 4.17
Ba (0.0000, 0.0000, 0.0000)  4 Cr 2.94, 2 Ga 2.96
Ga (0.0000, 0.5000, 0.0000)  2 Ba 2.96

Density of states at the Fermi level ... 3.632 states/eV per cell
Mass density ... 3.04 g cm⁻³
Symmetry ... P4/mmm, No. 123
Magnetization ... 9.723 μB/f.u.
Volume ... 41.0 Å³ per atom
Formation energy from the elements ... 2118 meV per atom

The following is a DFT calculation (PBE) of an optimized crystal structure of BaLiCrCu2.

Cell: 4.8355 4.8261 4.8355 Å, 90.00 90.00 90.00°
With the nearest neighbours (Å) after each atom.
Sites, in units of the cell vectors:
Cr (0.0000, 0.5000, 0.0000)  2 Li 2.41
Ba (0.5000, 0.5000, 0.5000)  8 Cu 3.42, 4 Cr 3.42
Cu (0.0000, 0.0000, 0.5000)  2 Li 2.42
Cu (0.5000, 0.0000, 0.0000)  2 Li 2.42
Li (0.0000, 0.0000, 0.0000)  2 Cr 2.41, 4 Cu 2.42

Density of states at the Fermi level ... 2.912 states/eV per cell
Mass density ... 4.76 g cm⁻³
Symmetry ... P4/mmm, No. 123
Magnetization ... 4.777 μB/f.u.
Volume ... 22.6 Å³ per atom
Formation energy from the elements ... 558 meV per atom